A plane-wave DFT calculation with GGA+U was carried out for a relaxed structure of RbCoAg2F8.

abc: 5.0419 5.3147 7.4257
angles: 76.69 77.94 85.99
Space group P-1 (No. 2)
Unique sites:
1 Rb 0.0000 0.0000 0.0000
2 Co 0.0000 0.0000 0.5000
3 Ag 0.3836 0.4877 0.2440
4 F 0.0891 0.7497 0.6993
5 F 0.2474 0.8453 0.3272
6 F 0.2679 0.2199 0.5072
7 F 0.4875 0.2667 0.0278

Output
Density of states at the Fermi level in states/eV per cell: 1.40
Theoretical density in g/cm3: 4.5
Raw total energy in eV per atom: -3.84
Crystal system: triclinic